## PuCd3In (PBE)

Data for a relaxed structure of PuCd3In.

DFT total energy = -3.514 eV per atom
magnetic moment = 6.3 μB/f.u.

```
data_PuCd3In
_chemical_formula_sum 'Pu3 Cd9 In3'
_cell_length_a 8.3168
_cell_length_b 8.3168
_cell_length_c 8.3593
_cell_angle_alpha 90.00
_cell_angle_beta 90.00
_cell_angle_gamma 120.00
_symmetry_space_group_name_H-M 'R 3 m'
_symmetry_Int_Tables_number 160
_symmetry_space_group_name_Hall 'R 3 -2"'
loop_
_atom_site_label
_atom_site_fract_x
_atom_site_fract_y
_atom_site_fract_z
_atom_site_occupancy
Pu1 0.0000 0.0000 0.0000 1
Cd1 0.2118 0.4237 0.9909 1
In1 0.0000 0.0000 0.6283 1
```


## SmF (PBE)

Data for a relaxed structure of SmF.

formation energy (no corrections) = -2.534 eV per atom
DFT total energy = -5.829 eV per atom
magnetic moment = 0.0 μB/f.u.

```
data_SmF
_chemical_formula_sum 'Sm2 F2'
_cell_length_a 3.7958
_cell_length_b 3.8145
_cell_length_c 5.9629
_cell_angle_alpha 90.00
_cell_angle_beta 90.00
_cell_angle_gamma 90.00
_symmetry_space_group_name_H-M 'P m m n'
_symmetry_Int_Tables_number 59
loop_
_symmetry_equiv_pos_as_xyz
'x,y,z'
'-x,-y,-z'
'-x+1/2,-y+1/2,z'
'x+1/2,y+1/2,-z'
'x+1/2,-y,-z'
'-x+1/2,y,z'
'-x,y+1/2,-z'
'x,-y+1/2,z'
loop_
_atom_site_label
_atom_site_fract_x
_atom_site_fract_y
_atom_site_fract_z
_atom_site_occupancy
Sm1 0.2500 0.2500 0.2376 1
F1 0.2500 0.7500 0.4947 1
```


## Rb3Tl3Sn8 (PBE)

Data for a relaxed structure of Rb3Tl3Sn8.

DFT total energy = -3.122 eV per atom
magnetic moment = 0.0 μB/f.u.

```
data_Rb3Tl3Sn8
_chemical_formula_sum 'Rb6 Tl6 Sn16'
_cell_length_a 4.9767
_cell_length_b 12.1253
_cell_length_c 15.9068
_cell_angle_alpha 90.00
_cell_angle_beta 90.00
_cell_angle_gamma 90.00
_symmetry_space_group_name_H-M 'I m m m'
_symmetry_Int_Tables_number 71
_symmetry_space_group_name_Hall '-I 2 2'
loop_
_atom_site_label
_atom_site_fract_x
_atom_site_fract_y
_atom_site_fract_z
_atom_site_occupancy
Rb1 0.0000 0.0000 0.0000 1
Rb2 0.0000 0.0000 0.3092 1
Tl1 0.0000 0.2020 0.5000 1
Tl2 0.0000 0.5000 0.0000 1
Sn1 0.0000 0.2756 0.1564 1
Sn2 0.0000 0.3676 0.3393 1
```


## LiFe2Ir (PBE)

Data for a relaxed structure of LiFe2Ir.

DFT total energy = -6.741 eV per atom
magnetic moment = 6.4 μB/f.u.

```
data_LiFe2Ir
_chemical_formula_sum 'Li1 Fe2 Ir1'
_cell_length_a 3.0244
_cell_length_b 3.0244
_cell_length_c 5.5732
_cell_angle_alpha 90.00
_cell_angle_beta 90.00
_cell_angle_gamma 90.00
_symmetry_space_group_name_H-M 'P 4/m m m'
_symmetry_Int_Tables_number 123
_symmetry_space_group_name_Hall '-P 4 2'
loop_
_atom_site_label
_atom_site_fract_x
_atom_site_fract_y
_atom_site_fract_z
_atom_site_occupancy
Li1 0.0000 0.0000 0.0000 1
Fe1 0.5000 0.5000 0.2325 1
Ir1 0.0000 0.0000 0.5000 1
```


## Sc3Tl5 (PBE)

Data for a relaxed structure of Sc3Tl5.

DFT total energy = -3.966 eV per atom
magnetic moment = 0.0 μB/f.u.
E above lowest polymorph = 0.049 eV/atom

```
data_Sc3Tl5
_chemical_formula_sum 'Sc6 Tl10'
_cell_length_a 6.1212
_cell_length_b 8.4756
_cell_length_c 8.5099
_cell_angle_alpha 88.30
_cell_angle_beta 72.31
_cell_angle_gamma 72.35
_symmetry_space_group_name_H-M 'P -1'
_symmetry_Int_Tables_number 2
loop_
_symmetry_equiv_pos_as_xyz
'x,y,z'
'-x,-y,-z'
loop_
_atom_site_label
_atom_site_fract_x
_atom_site_fract_y
_atom_site_fract_z
_atom_site_occupancy
Sc1 0.2214 0.0417 0.3191 1
Sc2 0.2481 0.5202 0.4841 1
Sc3 0.2764 0.6824 0.9593 1
Tl1 0.0690 0.2102 0.6599 1
Tl2 0.1365 0.3963 0.1770 1
Tl3 0.2514 0.0483 0.9520 1
Tl4 0.3662 0.8234 0.6040 1
Tl5 0.4305 0.3413 0.7904 1
```


## CePm9Pr2 (PBE)

Data for a relaxed structure of CePm9Pr2.

DFT total energy = -4.820 eV per atom
magnetic moment = 0.8 μB/f.u.

```
data_CePm9Pr2
_chemical_formula_sum 'Ce1 Pm9 Pr2'
_cell_length_a 5.1630
_cell_length_b 5.1630
_cell_length_c 15.4855
_cell_angle_alpha 90.00
_cell_angle_beta 90.00
_cell_angle_gamma 90.00
_symmetry_space_group_name_H-M 'P 4/m m m'
_symmetry_Int_Tables_number 123
_symmetry_space_group_name_Hall '-P 4 2'
loop_
_atom_site_label
_atom_site_fract_x
_atom_site_fract_y
_atom_site_fract_z
_atom_site_occupancy
Ce1 0.0000 0.0000 0.0000 1
Pm1 0.0000 0.5000 0.1625 1
Pm2 0.0000 0.5000 0.5000 1
Pm3 0.5000 0.5000 0.0000 1
Pm4 0.5000 0.5000 0.3326 1
Pr1 0.0000 0.0000 0.3315 1
```


## VCoS (PBE)

Data for a relaxed structure of VCoS.

formation energy (no corrections) = -0.127 eV per atom
DFT total energy = -6.911 eV per atom
magnetic moment = 0.0 μB/f.u.
E above lowest polymorph = 0.218 eV/atom

```
data_VCoS
_chemical_formula_sum 'V2 Co2 S2'
_cell_length_a 3.2369
_cell_length_b 3.2369
_cell_length_c 6.9343
_cell_angle_alpha 90.00
_cell_angle_beta 90.00
_cell_angle_gamma 90.00
_symmetry_space_group_name_H-M 'I 4 m m'
_symmetry_Int_Tables_number 107
_symmetry_space_group_name_Hall 'I 4 -2'
loop_
_atom_site_label
_atom_site_fract_x
_atom_site_fract_y
_atom_site_fract_z
_atom_site_occupancy
V1 0.0000 0.0000 0.0000 1
Co1 0.0000 0.0000 0.3403 1
S1 0.0000 0.0000 0.6630 1
```


## ZnTcAg (PBE)

Data for a relaxed structure of ZnTcAg.

DFT total energy = -4.573 eV per atom
magnetic moment = 0.0 μB/f.u.
E above lowest polymorph = 0.026 eV/atom

```
data_ZnTcAg
_chemical_formula_sum 'Zn4 Tc4 Ag4'
_cell_length_a 3.4418
_cell_length_b 4.1304
_cell_length_c 13.0215
_cell_angle_alpha 90.00
_cell_angle_beta 90.00
_cell_angle_gamma 90.00
_symmetry_space_group_name_H-M 'F m m 2'
_symmetry_Int_Tables_number 42
_symmetry_space_group_name_Hall 'F 2 -2'
loop_
_atom_site_label
_atom_site_fract_x
_atom_site_fract_y
_atom_site_fract_z
_atom_site_occupancy
Zn1 0.0000 0.0000 0.0000 1
Tc1 0.0000 0.0000 0.6560 1
Ag1 0.0000 0.0000 0.3330 1
```


## LaTh2Pt2 (PBE)

Data for a relaxed structure of LaTh2Pt2.

DFT total energy = -7.162 eV per atom
magnetic moment = 0.0 μB/f.u.
E above lowest polymorph = 0.135 eV/atom

```
data_LaTh2Pt2
_chemical_formula_sum 'La2 Th4 Pt4'
_cell_length_a 7.4666
_cell_length_b 7.4675
_cell_length_c 6.2946
_cell_angle_alpha 90.00
_cell_angle_beta 126.28
_cell_angle_gamma 90.00
_symmetry_space_group_name_H-M 'C 1 2/m 1'
_symmetry_Int_Tables_number 12
loop_
_symmetry_equiv_pos_as_xyz
'x,y,z'
'-x,-y,-z'
'-x,y,-z'
'x,-y,z'
'x+1/2,y+1/2,z'
'-x+1/2,-y+1/2,-z'
'-x+1/2,y+1/2,-z'
'x+1/2,-y+1/2,z'
loop_
_atom_site_label
_atom_site_fract_x
_atom_site_fract_y
_atom_site_fract_z
_atom_site_occupancy
La1 0.0000 0.0000 0.0000 1
Th1 0.0000 0.2501 0.5000 1
Pt1 0.1326 0.5000 0.2645 1
```


## Ba3AsPt (PBE)

Data for a relaxed structure of Ba3AsPt.

DFT total energy = -4.131 eV per atom
magnetic moment = 0.5 μB/f.u.
E above lowest polymorph = 0.000 eV/atom

```
data_Ba3AsPt
_chemical_formula_sum 'Ba12 As4 Pt4'
_cell_length_a 9.5936
_cell_length_b 8.6068
_cell_length_c 9.1660
_cell_angle_alpha 90.00
_cell_angle_beta 99.39
_cell_angle_gamma 90.00
_symmetry_space_group_name_H-M 'P 1 21/c 1'
_symmetry_Int_Tables_number 14
loop_
_symmetry_equiv_pos_as_xyz
'x,y,z'
'-x,-y,-z'
'-x,y+1/2,-z+1/2'
'x,-y+1/2,z+1/2'
loop_
_atom_site_label
_atom_site_fract_x
_atom_site_fract_y
_atom_site_fract_z
_atom_site_occupancy
Ba1 0.0642 0.0024 0.2140 1
Ba2 0.2867 0.1283 0.5901 1
Ba3 0.3660 0.7002 0.4878 1
As1 0.4179 0.0590 0.2696 1
Pt1 0.0540 0.6815 0.0140 1
```


## RbCuTcBr6 (PBE)

Data for a relaxed structure of RbCuTcBr6.

formation energy (no corrections) = -0.648 eV per atom
DFT total energy = -3.478 eV per atom
magnetic moment = 3.1 μB/f.u.

```
data_RbCuTcBr6
_chemical_formula_sum 'Rb2 Cu2 Tc2 Br12'
_cell_length_a 6.8209
_cell_length_b 11.8271
_cell_length_c 7.7345
_cell_angle_alpha 90.00
_cell_angle_beta 90.05
_cell_angle_gamma 90.00
_symmetry_space_group_name_H-M 'C 1 2 1'
_symmetry_Int_Tables_number 5
loop_
_symmetry_equiv_pos_as_xyz
'x,y,z'
'-x,y,-z'
'x+1/2,y+1/2,z'
'-x+1/2,y+1/2,-z'
loop_
_atom_site_label
_atom_site_fract_x
_atom_site_fract_y
_atom_site_fract_z
_atom_site_occupancy
Rb1 0.0000 0.0000 0.0000 1
Cu1 0.0000 0.3334 0.5000 1
Tc1 0.0000 0.6667 0.5000 1
Br1 0.1296 0.5069 0.3123 1
Br2 0.1754 0.8115 0.3125 1
Br3 0.1954 0.1820 0.3120 1
```


## Pm8Co3NiI4 (PBE)

Data for a relaxed structure of Pm8Co3NiI4.

formation energy (no corrections) = -0.611 eV per atom
DFT total energy = -5.068 eV per atom
magnetic moment = 0.0 μB/f.u.

```
data_Pm8Co3NiI4
_chemical_formula_sum 'Pm16 Co6 Ni2 I8'
_cell_length_a 14.0393
_cell_length_b 8.1284
_cell_length_c 9.3105
_cell_angle_alpha 90.00
_cell_angle_beta 120.18
_cell_angle_gamma 90.00
_symmetry_space_group_name_H-M 'C 1 2/m 1'
_symmetry_Int_Tables_number 12
loop_
_symmetry_equiv_pos_as_xyz
'x,y,z'
'-x,-y,-z'
'-x,y,-z'
'x,-y,z'
'x+1/2,y+1/2,z'
'-x+1/2,-y+1/2,-z'
'-x+1/2,y+1/2,-z'
'x+1/2,-y+1/2,z'
loop_
_atom_site_label
_atom_site_fract_x
_atom_site_fract_y
_atom_site_fract_z
_atom_site_occupancy
Pm1 0.0247 0.2456 0.3186 1
Pm2 0.2272 0.0000 0.6826 1
Pm3 0.2297 0.5000 0.6812 1
Co1 0.0000 0.0000 0.5000 1
Co2 0.2500 0.2500 0.5000 1
Ni1 0.0000 0.5000 0.5000 1
I1 0.0000 0.0000 0.0000 1
I2 0.0000 0.5000 0.0000 1
I3 0.2500 0.2500 0.0000 1
```